VASP calculation (PBE) on a geometry-optimized Er2Ag5F12 structure.

a b c (Å): 6.432 6.432 8.977
angles (deg): 95.30 95.30 64.41
Positions (direct):
Er: 0.247 0.753 0.000
Er: 0.753 0.247 0.000
Ag: 0.000 0.000 0.500
Ag: 0.267 0.267 0.307
Ag: 0.308 0.308 0.624
Ag: 0.692 0.692 0.376
Ag: 0.733 0.733 0.693
F: 0.093 0.093 0.911
F: 0.108 0.632 0.429
F: 0.109 0.622 0.808
F: 0.368 0.892 0.571
F: 0.378 0.891 0.192
F: 0.410 0.410 0.093
F: 0.590 0.590 0.907
F: 0.622 0.109 0.808
F: 0.632 0.108 0.429
F: 0.891 0.378 0.192
F: 0.892 0.368 0.571
F: 0.907 0.907 0.089

Output
Final energy, eV/atom: -4.694
ΔE_f (raw), eV/atom: -2.282
Space group: C2/m